## PrSnB (PBE-GGA)

Data for a geometry-optimized PrSnB structure.

The structure in CIF format:
```
data_PrSnB
_chemical_formula_sum 'Pr4 Sn4 B4'
_space_group_name_H-M_alt 'F -4 3 m'
_space_group_IT_number 216
_space_group_name_Hall 'F -4 2 3'
_cell_length_a 6.420
_cell_length_b 6.420
_cell_length_c 6.420
_cell_angle_alpha 90.00
_cell_angle_beta 90.00
_cell_angle_gamma 90.00
loop_
_atom_site_label
_atom_site_type_symbol
_atom_site_fract_x
_atom_site_fract_y
_atom_site_fract_z
Pr1 Pr 0.000 0.000 0.000
Sn1 Sn 0.000 0.000 0.500
B1 B 0.250 0.250 0.250
```

Computed properties:
raw total energy	-14.998	eV per formula unit